Entry 1:
First-principles (GGA-PBEsol) data for crystalline BeCu2Te at its relaxed geometry, as listed in Alexandria via LeMat-Bulk.

Summary:
Raw formation energy = 358 meV/atom
Total energy = -3.69 eV per atom
Density of states at the Fermi level = 0.98 states/eV/f.u.
SG = No. 65

The structure in POSCAR format:
```
BeCu2Te
1.0
-0.446 -3.530 1.287
0.038 -1.359 -3.714
3.847 -0.157 0.905
Cu Te Be
2 1 1
Direct
0.000 0.500 0.000
0.000 0.000 0.500
0.500 0.000 0.000
0.500 0.500 0.500
```

Entry 2:
First-principles (GGA-PBEsol) data for crystalline BeCu2Te at its relaxed geometry, as listed in Alexandria via LeMat-Bulk.

Summary:
Raw formation energy = 509 meV/atom
Total energy = -3.54 eV per atom
Density of states at the Fermi level = 0.86 states/eV/f.u.
SG = No. 216

The structure in POSCAR format:
```
BeCu2Te
1.0
4.382 0.000 0.000
2.191 3.795 0.000
2.191 1.265 3.578
Te Cu Be
1 2 1
Direct
0.250 0.250 0.250
0.750 0.750 0.750
0.000 0.000 0.000
0.500 0.500 0.500
```

Entry 3:
First-principles (GGA-PBEsol) data for crystalline BeCuTe3 at its relaxed geometry, as listed in Alexandria via LeMat-Bulk.

Summary:
Raw formation energy = 866 meV/atom
Total energy = -2.92 eV per atom
Density of states at the Fermi level = 5.19 states/eV/f.u.
SG = No. 221

The structure in POSCAR format:
```
BeCuTe3
1.0
5.042 0.000 0.000
0.000 5.042 0.000
0.000 0.000 5.042
Te Be Cu
3 1 1
Direct
0.000 0.000 0.500
0.000 0.500 0.000
0.500 0.000 0.000
0.500 0.500 0.500
0.000 0.000 0.000
```

Entry 4:
First-principles (GGA-PBEsol) data for crystalline BeCuTe2 at its relaxed geometry, as listed in Alexandria via LeMat-Bulk.

Summary:
Raw formation energy = -125 meV/atom
Total energy = -3.97 eV per atom
Density of states at the Fermi level = 2.53 states/eV/f.u.
SG = No. 122

The structure in POSCAR format:
```
BeCuTe2
1.0
5.728 0.000 0.000
0.000 5.728 0.000
-2.864 -2.864 5.626
Be Te Cu
2 4 2
Direct
0.750 0.250 0.500
0.500 0.500 0.000
0.625 0.611 0.750
0.861 0.375 0.250
0.125 0.139 0.750
0.389 0.875 0.250
0.000 0.000 0.000
0.250 0.750 0.500
```

Entry 5:
First-principles (GGA-PBEsol) data for crystalline Ti6Be15Cu8 at its relaxed geometry, as listed in Alexandria via LeMat-Bulk.

Summary:
Total energy = -5.23 eV per atom
Density of states at the Fermi level = 13.17 states/eV/f.u.
DFT formation energy = -7.00 eV/f.u.
SG = No. 225

The structure in POSCAR format:
```
Ti6Be15Cu8
1.0
7.526 0.000 0.000
3.763 6.518 0.000
3.763 2.173 6.145
Ti Be Cu
6 15 8
Direct
0.697 0.303 0.697
0.697 0.303 0.303
0.303 0.697 0.697
0.303 0.697 0.303
0.303 0.303 0.697
0.697 0.697 0.303
0.000 0.000 0.500
0.000 0.500 0.000
0.673 0.673 0.981
0.673 0.981 0.673
0.000 0.500 0.500
0.500 0.500 0.000
0.327 0.019 0.327
0.000 0.000 0.000
0.019 0.327 0.327
0.327 0.327 0.019
0.981 0.673 0.673
0.500 0.000 0.500
0.500 0.000 0.000
0.327 0.327 0.327
0.673 0.673 0.673
0.878 0.366 0.878
0.366 0.878 0.878
0.878 0.878 0.878
0.122 0.122 0.634
0.122 0.122 0.122
0.634 0.122 0.122
0.122 0.634 0.122
0.878 0.878 0.366
```

Entry 6:
First-principles (GGA-PBEsol) data for crystalline TiBe2Cu at its relaxed geometry, as listed in Alexandria via LeMat-Bulk.

Summary:
Total energy = -5.27 eV per atom
Density of states at the Fermi level = 2.01 states/eV/f.u.
DFT formation energy = -0.41 eV/f.u.
SG = No. 225

The structure in POSCAR format:
```
TiBe2Cu
1.0
-2.691 -2.517 -1.350
-0.311 -3.576 1.585
-3.119 -0.905 2.202
Be Cu Ti
2 1 1
Direct
0.750 0.750 0.750
0.250 0.250 0.250
0.500 0.500 0.500
0.000 0.000 0.000
```